First-principles (GGA-PBE) data for a geometry-optimized AlTe2Au2 structure, as listed in Alexandria.

```
AlTe2Au2
1.0
4.825 0.000 0.000
0.000 4.825 0.000
0.000 0.000 5.766
Al Te Au
1 2 2
Cartesian
0.000 0.000 0.000
0.000 0.000 2.883
2.412 2.412 2.883
0.000 2.412 0.000
2.412 0.000 0.000
```

Values from the calculation:
Magnetic moment ... 0.00 μB/f.u.
Formation energy from raw total energies ... 1.65 eV per formula unit
Volume ... 26.84 Å³/atom
VASP energy ... -2.99 eV per atom
Space-group type ... P4/mmm (123)